The following is a DFT calculation (PBE-GGA) of a geometry-optimized YO structure.

Lattice parameters (Å, degrees): 3.7566 3.7566 3.7566 60.00 60.00 60.00
Element x y z (fractional)
Y 0.0000 0.0000 0.0000
O 0.2500 0.2500 0.2500

The following is a DFT calculation (PBE-GGA) of a geometry-optimized YO structure.

Lattice parameters (Å, degrees): 6.3877 6.3877 6.3877 90.00 90.00 90.00
Element x y z (fractional)
Y 0.0000 0.2500 0.5000
Y 0.0000 0.7500 0.5000
Y 0.2500 0.5000 0.0000
Y 0.5000 0.0000 0.2500
Y 0.5000 0.0000 0.7500
Y 0.7500 0.5000 0.0000
O 0.0000 0.5000 0.2500
O 0.0000 0.5000 0.7500
O 0.2500 0.0000 0.5000
O 0.5000 0.2500 0.0000
O 0.5000 0.7500 0.0000
O 0.7500 0.0000 0.5000

The following is a DFT calculation (PBE-GGA) of a geometry-optimized YO3 structure.

Lattice parameters (Å, degrees): 6.4539 7.4745 4.2641 90.00 90.00 90.00
Element x y z (fractional)
Y 0.1521 0.2500 0.0624
Y 0.3479 0.7500 0.5624
Y 0.6521 0.2500 0.4376
Y 0.8479 0.7500 0.9376
O 0.0074 0.2500 0.5669
O 0.1479 0.5477 0.8979
O 0.1479 0.9523 0.8979
O 0.3521 0.0477 0.3979
O 0.3521 0.4523 0.3979
O 0.4926 0.7500 0.0669
O 0.5074 0.2500 0.9331
O 0.6479 0.5477 0.6021
O 0.6479 0.9523 0.6021
O 0.8521 0.0477 0.1021
O 0.8521 0.4523 0.1021
O 0.9926 0.7500 0.4331

DOS(E_F) values (in states/eV/f.u.) by entry order: 0.9, 1.3, 1.3.
E values (in eV for the cell shown) by entry order: -16.82, -100.35, -109.46.